1.
First-principles (GGA-PBEsol) data for K3InF6 after structural relaxation, as listed in Alexandria.

Geometry as CIF:
```
data_K3InF6
_chemical_formula_sum 'K12 In4 F24'
_cell_length_a 8.953
_cell_length_b 8.953
_cell_length_c 8.953
_cell_angle_alpha 90.00
_cell_angle_beta 90.00
_cell_angle_gamma 90.00
_space_group_name_H-M_alt 'P n -3'
_space_group_IT_number 201
loop_
_space_group_symop_operation_xyz
'x,y,z'
'-x,-y,-z'
'-x+1/2,-y+1/2,z'
'x+1/2,y+1/2,-z'
'x,-y+1/2,-z+1/2'
'-x,y+1/2,z+1/2'
'-x+1/2,y,-z+1/2'
'x+1/2,-y,z+1/2'
'z,x,y'
'-z,-x,-y'
'z,-x+1/2,-y+1/2'
'-z,x+1/2,y+1/2'
'-z+1/2,x,-y+1/2'
'z+1/2,-x,y+1/2'
'-z+1/2,-x+1/2,y'
'z+1/2,x+1/2,-y'
'y,z,x'
'-y,-z,-x'
'-y+1/2,z,-x+1/2'
'y+1/2,-z,x+1/2'
'-y+1/2,-z+1/2,x'
'y+1/2,z+1/2,-x'
'y,-z+1/2,-x+1/2'
'-y,z+1/2,x+1/2'
loop_
_atom_site_label
_atom_site_type_symbol
_atom_site_fract_x
_atom_site_fract_y
_atom_site_fract_z
_atom_site_occupancy
K1 K 0.000 0.000 0.000 1
K2 K 0.250 0.250 0.250 1
K3 K 0.250 0.250 0.750 1
In1 In 0.000 0.000 0.500 1
F1 F 0.040 0.724 0.949 1
```

Values from the calculation:
* formation energy from raw total energies: -2739 meV/atom


2.
First-principles (GGA-PBEsol) data for ZnNi2 after structural relaxation, as listed in Alexandria.

Geometry as CIF:
```
data_ZnNi2
_chemical_formula_sum 'Zn4 Ni8'
_cell_length_a 7.524
_cell_length_b 4.321
_cell_length_c 4.093
_cell_angle_alpha 90.00
_cell_angle_beta 90.00
_cell_angle_gamma 90.00
_space_group_name_H-M_alt 'C m c m'
_space_group_IT_number 63
_space_group_name_Hall '-C 2c 2'
loop_
_atom_site_label
_atom_site_type_symbol
_atom_site_fract_x
_atom_site_fract_y
_atom_site_fract_z
_atom_site_occupancy
Zn1 Zn 0.000 0.179 0.250 1
Ni1 Ni 0.171 0.334 0.750 1
```

Values from the calculation:
* formation energy from the elements: -146 meV per atom


3.
First-principles (GGA-PBEsol) data for MnCdTc2 after structural relaxation, as listed in Alexandria.

Geometry as CIF:
```
data_MnCdTc2
_chemical_formula_sum 'Mn1 Cd1 Tc2'
_cell_length_a 2.706
_cell_length_b 2.706
_cell_length_c 7.749
_cell_angle_alpha 90.00
_cell_angle_beta 90.00
_cell_angle_gamma 90.00
_space_group_name_H-M_alt 'P 4/m m m'
_space_group_IT_number 123
_space_group_name_Hall '-P 4 2'
loop_
_atom_site_label
_atom_site_type_symbol
_atom_site_fract_x
_atom_site_fract_y
_atom_site_fract_z
_atom_site_occupancy
Mn1 Mn 0.000 0.000 0.000 1
Cd1 Cd 0.000 0.000 0.500 1
Tc1 Tc 0.500 0.500 0.212 1
```

Values from the calculation:
* formation energy from the elements: 268 meV per atom


4.
First-principles (GGA-PBEsol) data for Fe2CoIr after structural relaxation, as listed in Alexandria.

Geometry as CIF:
```
data_Fe2CoIr
_chemical_formula_sum 'Fe2 Co1 Ir1'
_cell_length_a 2.876
_cell_length_b 2.876
_cell_length_c 5.835
_cell_angle_alpha 90.00
_cell_angle_beta 90.00
_cell_angle_gamma 90.00
_space_group_name_H-M_alt 'P 4/m m m'
_space_group_IT_number 123
_space_group_name_Hall '-P 4 2'
loop_
_atom_site_label
_atom_site_type_symbol
_atom_site_fract_x
_atom_site_fract_y
_atom_site_fract_z
_atom_site_occupancy
Fe1 Fe 0.000 0.000 0.230 1
Co1 Co 0.500 0.500 0.000 1
Ir1 Ir 0.500 0.500 0.500 1
```

Values from the calculation:
* formation energy from the elements: 47 meV per atom


5.
First-principles (GGA-PBEsol) data for TlSnB2W after structural relaxation, as listed in Alexandria.

Geometry as CIF:
```
data_TlSnB2W
_chemical_formula_sum 'Tl1 Sn1 B2 W1'
_cell_length_a 4.267
_cell_length_b 4.267
_cell_length_c 5.689
_cell_angle_alpha 90.00
_cell_angle_beta 90.00
_cell_angle_gamma 90.00
_space_group_name_H-M_alt 'P 4/m m m'
_space_group_IT_number 123
_space_group_name_Hall '-P 4 2'
loop_
_atom_site_label
_atom_site_type_symbol
_atom_site_fract_x
_atom_site_fract_y
_atom_site_fract_z
_atom_site_occupancy
Tl1 Tl 0.000 0.000 0.000 1
Sn1 Sn 0.000 0.000 0.500 1
B1 B 0.000 0.500 0.500 1
W1 W 0.500 0.500 0.000 1
```

Values from the calculation:
* formation energy from the elements: 2563 meV per atom


6.
First-principles (GGA-PBEsol) data for LaDyTl2 after structural relaxation, as listed in Alexandria.

Geometry as CIF:
```
data_LaDyTl2
_chemical_formula_sum 'La4 Dy4 Tl8'
_cell_length_a 7.636
_cell_length_b 7.636
_cell_length_c 7.636
_cell_angle_alpha 90.00
_cell_angle_beta 90.00
_cell_angle_gamma 90.00
_space_group_name_H-M_alt 'F m -3 m'
_space_group_IT_number 225
_space_group_name_Hall '-F 4 2 3'
loop_
_atom_site_label
_atom_site_type_symbol
_atom_site_fract_x
_atom_site_fract_y
_atom_site_fract_z
_atom_site_occupancy
La1 La 0.000 0.000 0.000 1
Dy1 Dy 0.000 0.000 0.500 1
Tl1 Tl 0.250 0.250 0.250 1
```

Values from the calculation:
* formation energy from the elements: -437 meV per atom


7.
First-principles (GGA-PBEsol) data for Zn2CuAu after structural relaxation, as listed in Alexandria.

Geometry as CIF:
```
data_Zn2CuAu
_chemical_formula_sum 'Zn2 Cu1 Au1'
_cell_length_a 3.143
_cell_length_b 3.143
_cell_length_c 5.644
_cell_angle_alpha 90.00
_cell_angle_beta 90.00
_cell_angle_gamma 90.00
_space_group_name_H-M_alt 'P 4 m m'
_space_group_IT_number 99
loop_
_space_group_symop_operation_xyz
'x,y,z'
'-y,x,z'
'-x,-y,z'
'y,-x,z'
'-x,y,z'
'y,x,z'
'x,-y,z'
'-y,-x,z'
loop_
_atom_site_label
_atom_site_type_symbol
_atom_site_fract_x
_atom_site_fract_y
_atom_site_fract_z
_atom_site_occupancy
Zn1 Zn 0.000 0.000 0.000 1
Zn2 Zn 0.500 0.500 0.257 1
Cu1 Cu 0.500 0.500 0.788 1
Au1 Au 0.000 0.000 0.516 1
```

Values from the calculation:
* formation energy from the elements: -112 meV per atom


8.
First-principles (GGA-PBEsol) data for Zr2TaRu after structural relaxation, as listed in Alexandria.

Geometry as CIF:
```
data_Zr2TaRu
_chemical_formula_sum 'Zr2 Ta1 Ru1'
_cell_length_a 3.039
_cell_length_b 4.490
_cell_length_c 5.483
_cell_angle_alpha 90.00
_cell_angle_beta 103.83
_cell_angle_gamma 90.00
_space_group_name_H-M_alt 'P 1 m 1'
_space_group_IT_number 6
loop_
_space_group_symop_operation_xyz
'x,y,z'
'x,-y,z'
loop_
_atom_site_label
_atom_site_type_symbol
_atom_site_fract_x
_atom_site_fract_y
_atom_site_fract_z
_atom_site_occupancy
Zr1 Zr 0.000 0.000 0.000 1
Zr2 Zr 0.279 0.500 0.728 1
Ta1 Ta 0.569 0.000 0.470 1
Ru1 Ru 0.777 0.500 0.244 1
```

Values from the calculation:
* E above lowest polymorph: 12.5 kJ/mol of atoms
* formation energy from the elements: -111 meV per atom